a) BePbN2 | PBE | optimized geometry

abc: 5.7539 5.7539 5.7539
angles: 35.49 35.49 35.49
With the nearest neighbours (Å) after each atom.
Element x y z (fractional)
Pb 0.5000 0.5000 0.5000  6 N 2.33
Be 0.0000 0.0000 0.0000  2 N 1.53
N 0.9051 0.9051 0.9051  1 Be 1.53
N 0.0949 0.0949 0.0949  1 Be 1.53

b) BePbN2 | PBE | optimized geometry

abc: 4.0262 4.0262 4.0262
angles: 60.00 60.00 60.00
With the nearest neighbours (Å) after each atom.
Element x y z (fractional)
Pb 0.5000 0.5000 0.5000  8 N 2.47
Be 0.0000 0.0000 0.0000  8 N 2.47
N 0.2500 0.2500 0.2500  4 Pb 2.47, 4 Be 2.47
N 0.7500 0.7500 0.7500  4 Pb 2.47, 4 Be 2.47

c) BePbN2 | PBE | optimized geometry

abc: 4.6028 4.6028 5.6250
angles: 65.85 65.85 90.00
With the nearest neighbours (Å) after each atom.
Element x y z (fractional)
Pb 0.0000 0.0000 0.0000  4 N 2.22
Pb 0.7500 0.2500 0.5000  4 N 2.22
Be 0.5000 0.5000 0.0000  4 N 1.81
Be 0.2500 0.7500 0.5000  4 N 1.81
N 0.5467 0.1250 0.2500  2 Be 1.81
N 0.2033 0.6250 0.2500  2 Be 1.81
N 0.3750 0.4533 0.7500  2 Be 1.81
N 0.8750 0.7967 0.7500  2 Be 1.81

Which of them is most stable? Easy: c).

a) Be2PbN | PBE | optimized geometry

abc: 4.2534 4.2534 4.2534
angles: 60.00 60.00 60.00
With the nearest neighbours (Å) after each atom.
Element x y z (fractional)
Pb 0.5000 0.5000 0.5000  8 Be 2.60
Be 0.2500 0.2500 0.2500  4 Pb 2.60, 4 N 2.60
Be 0.7500 0.7500 0.7500  4 Pb 2.60, 4 N 2.60
N 0.0000 0.0000 0.0000  8 Be 2.60

b) Be2PbN | PBE | optimized geometry

abc: 5.4156 5.4156 5.4281
angles: 60.08 60.08 90.00
With the nearest neighbours (Å) after each atom.
Element x y z (fractional)
Pb 0.0000 0.0000 0.0000  12 Be 3.01-3.35, 4 Pb 3.32, 4 N 3.32
Pb 0.7500 0.2500 0.5000  12 Be 3.01-3.35, 4 N 3.32, 4 Pb 3.32
Be 0.4112 0.1250 0.2500  2 N 1.67
Be 0.3388 0.6250 0.2500  2 N 1.67
Be 0.3750 0.5888 0.7500  2 N 1.67
Be 0.8750 0.6612 0.7500  2 N 1.67
N 0.5000 0.5000 0.0000  4 Be 1.67
N 0.2500 0.7500 0.5000  4 Be 1.67

Which of them is most stable? Easy: b).

a) Be3PbN | PBE | optimized geometry

abc: 4.5782 4.5782 4.5782
angles: 90.00 90.00 90.00
With the nearest neighbours (Å) after each atom.
Element x y z (fractional)
Pb 0.0000 0.0000 0.0000  6 Be 2.29
Be 0.0000 0.5000 0.0000  2 Pb 2.29
Be 0.0000 0.0000 0.5000  2 Pb 2.29
Be 0.5000 0.0000 0.0000  2 Pb 2.29
N 0.5000 0.5000 0.5000  12 Be 3.24

b) Be3PbN | PBE | optimized geometry

abc: 3.8353 3.8353 3.8353
angles: 90.00 90.00 90.00
With the nearest neighbours (Å) after each atom.
Element x y z (fractional)
Pb 0.5000 0.5000 0.5000  12 Be 2.71
Be 0.0000 0.5000 0.0000  2 N 1.92
Be 0.0000 0.0000 0.5000  2 N 1.92
Be 0.5000 0.0000 0.0000  2 N 1.92
N 0.0000 0.0000 0.0000  6 Be 1.92

Which of them is most stable? Easy: b).

a) BeTe2PbN | PBE | optimized geometry

abc: 5.8393 5.8393 4.2750
angles: 90.00 90.00 90.00
With the nearest neighbours (Å) after each atom.
Element x y z (fractional)
Pb 0.0000 0.0000 0.0000  2 N 2.14
Be 0.5000 0.5000 0.5000  8 Te 3.62
Te 0.0000 0.5000 0.0000  2 Pb 2.92
Te 0.5000 0.0000 0.0000  2 Pb 2.92
N 0.0000 0.0000 0.5000  2 Pb 2.14

b) BeTe2PbN | PBE | optimized geometry

abc: 5.9603 5.9603 3.1654
angles: 90.00 90.00 90.00
With the nearest neighbours (Å) after each atom.
Element x y z (fractional)
Pb 0.5000 0.5000 0.5000  2 Pb 3.17, 8 Te 3.37
Be 0.0000 0.0000 0.0000  2 N 1.58
Te 0.0000 0.5000 0.0000  2 Be 2.98, 2 Te 3.17
Te 0.5000 0.0000 0.0000  2 Be 2.98, 2 Te 3.17
N 0.0000 0.0000 0.5000  2 Be 1.58

Which of them is most stable? Easy: b).

a) BePdS2N | PBE | optimized geometry

abc: 4.8593 4.8593 3.6682
angles: 90.00 90.00 90.00
With the nearest neighbours (Å) after each atom.
Element x y z (fractional)
Be 0.5000 0.5000 0.5000  8 S 3.04
S 0.0000 0.5000 0.0000  2 Pd 2.43
S 0.5000 0.0000 0.0000  2 Pd 2.43
Pd 0.0000 0.0000 0.0000  2 N 1.83
N 0.0000 0.0000 0.5000  2 Pd 1.83

b) BePdS2N | PBE | optimized geometry

abc: 4.6750 4.6750 3.0470
angles: 90.00 90.00 90.00
With the nearest neighbours (Å) after each atom.
Element x y z (fractional)
Be 0.0000 0.0000 0.0000  2 N 1.52
S 0.0000 0.5000 0.0000  2 Be 2.34
S 0.5000 0.0000 0.0000  2 Be 2.34
Pd 0.5000 0.5000 0.5000  8 S 2.79, 2 Pd 3.05
N 0.0000 0.0000 0.5000  2 Be 1.52

Which of them is most stable? Easy: b).

a) BePdSeN2 | PBE | optimized geometry

abc: 3.6916 3.6916 7.9662
angles: 90.00 90.00 90.00
With the nearest neighbours (Å) after each atom.
Element x y z (fractional)
Be 0.5000 0.5000 0.5000  4 Se 2.61
Se 0.0000 0.0000 0.5000  4 Be 2.61
Pd 0.0000 0.0000 0.0000  4 N 1.85
N 0.0000 0.5000 0.0000  2 Pd 1.85
N 0.5000 0.0000 0.0000  2 Pd 1.85

b) BePdSeN2 | PBE | optimized geometry

abc: 3.4690 3.4690 5.9119
angles: 90.00 90.00 90.00
With the nearest neighbours (Å) after each atom.
Element x y z (fractional)
Be 0.0000 0.0000 0.0000  4 N 1.73
Se 0.0000 0.0000 0.5000  4 Pd 2.45
Pd 0.5000 0.5000 0.5000  4 Se 2.45
N 0.0000 0.5000 0.0000  2 Be 1.73
N 0.5000 0.0000 0.0000  2 Be 1.73

Which of them is most stable? Easy: b).

a) BePdSe2N | PBE | optimized geometry

abc: 4.9729 4.9729 3.0253
angles: 90.00 90.00 90.00
With the nearest neighbours (Å) after each atom.
Element x y z (fractional)
Be 0.0000 0.0000 0.0000  2 N 1.51
Se 0.0000 0.5000 0.0000  2 Be 2.49
Se 0.5000 0.0000 0.0000  2 Be 2.49
Pd 0.5000 0.5000 0.5000  8 Se 2.91, 2 Pd 3.03
N 0.0000 0.0000 0.5000  2 Be 1.51

b) BePdSe2N | PBE | optimized geometry

abc: 5.1314 5.1314 3.6638
angles: 90.00 90.00 90.00
With the nearest neighbours (Å) after each atom.
Element x y z (fractional)
Be 0.5000 0.5000 0.5000  8 Se 3.15
Se 0.0000 0.5000 0.0000  2 Pd 2.57
Se 0.5000 0.0000 0.0000  2 Pd 2.57
Pd 0.0000 0.0000 0.0000  2 N 1.83
N 0.0000 0.0000 0.5000  2 Pd 1.83

Which of them is most stable? Easy: a).

a) BeTePdN2 | PBE | optimized geometry

abc: 3.6217 3.6217 5.9321
angles: 90.00 90.00 90.00
With the nearest neighbours (Å) after each atom.
Element x y z (fractional)
Be 0.0000 0.0000 0.0000  4 N 1.81
Te 0.0000 0.0000 0.5000  4 Pd 2.56
Pd 0.5000 0.5000 0.5000  4 Te 2.56
N 0.0000 0.5000 0.0000  2 Be 1.81
N 0.5000 0.0000 0.0000  2 Be 1.81

b) BeTePdN2 | PBE | optimized geometry

abc: 3.9138 3.9138 5.8535
angles: 90.00 90.00 90.00
With the nearest neighbours (Å) after each atom.
Element x y z (fractional)
Be 0.5000 0.5000 0.5000  4 Te 2.77
Te 0.0000 0.0000 0.5000  4 Be 2.77, 2 Pd 2.93
Pd 0.0000 0.0000 0.0000  4 N 1.96
N 0.0000 0.5000 0.0000  2 Pd 1.96
N 0.5000 0.0000 0.0000  2 Pd 1.96

Which of them is most stable? Easy: a).